Below is an optimized crystal structure of Mn4FeF10, with properties calculated at the PBE+U level.

Values from the calculation:
Final energy = -5.33 eV per atom
Total moment = 2.0 μB/f.u.

abc: 3.605 3.605 15.775
angles: 83.44 83.44 60.00
Last column: magnetic moment on the atom in μB.
Positions (direct):
Mn (0.402, 0.402, 0.795)  -4.71
Mn (0.801, 0.801, 0.598)  4.71
Mn (0.199, 0.199, 0.402)  4.71
Mn (0.598, 0.598, 0.205)  -4.71
Fe (0.000, 0.000, 0.000)  1.92
F (0.948, 0.948, 0.156)  -0.04
F (0.150, 0.150, 0.549)  0.06
F (0.549, 0.549, 0.352)  0.03
F (0.349, 0.349, 0.952)  0.01
F (0.752, 0.752, 0.745)  -0.03
F (0.651, 0.651, 0.048)  0.01
F (0.850, 0.850, 0.451)  0.06
F (0.248, 0.248, 0.255)  -0.03
F (0.052, 0.052, 0.844)  -0.04
F (0.451, 0.451, 0.648)  0.03